Cs3CaN: relaxed, GGA-PBEsol.

Unit cell a=8.319 b=8.319 c=8.319 alpha=90.00 beta=90.00 gamma=90.00
Site moments in Bohr magnetons follow the coordinates.
Atoms (fractional coordinates):
1 Cs 0.000 0.500 0.000  0.00
2 N 0.500 0.500 0.500  1.64
3 Cs 0.500 0.000 0.000  0.00
4 Cs 0.000 0.000 0.500  0.00
5 Ca 0.000 0.000 0.000  0.01

Computed properties:
Total energy in eV per atom: -1.38
Formation energy without anion corrections in eV/atom: 1.32
Crystal system: cubic